Entry 1:
Density functional theory data (PBE-GGA) for a relaxed structure of Cs4Rb2InAs2.

Lattice parameters (Å, degrees): 11.2989 11.2989 5.5340 98.66 98.66 84.68
Closest atoms and distances in Å follow each position.
Fractional coordinates of all 9 atoms:
1 Cs 0.0091 0.6956 0.8861  2 As 3.65-3.66
2 Cs 0.3044 0.9909 0.1139  2 As 3.65-3.66
3 Cs 0.6956 0.0091 0.8861  2 As 3.65-3.66
4 Cs 0.9909 0.3044 0.1139  2 As 3.65-3.66
5 Rb 0.3685 0.3685 0.6887  1 As 3.55
6 Rb 0.6315 0.6315 0.3113  1 As 3.55
7 In 0.0000 0.0000 0.5000  2 As 2.50
8 As 0.1524 0.1524 0.6175  1 In 2.50
9 As 0.8476 0.8476 0.3825  1 In 2.50

Output
- Energy of formation from the pure elements: -20.14 kJ/mol of atoms
- D(E_F): 0.45 states/eV/atom

=====

Entry 2:
Density functional theory data (PBE-GGA) for a relaxed structure of CsInAsRh.

Lattice parameters (Å, degrees): 4.1664 4.1664 14.3168 90.00 90.00 90.00
Closest atoms and distances in Å follow each position.
Fractional coordinates of all 8 atoms:
1 Cs 0.2500 0.2500 0.2434  4 As 3.65, 4 Rh 4.06
2 Cs 0.7500 0.7500 0.7566  4 As 3.65, 4 Rh 4.06
3 In 0.2500 0.7500 0.5000  4 In 2.95
4 In 0.7500 0.2500 0.5000  4 In 2.95
5 As 0.2500 0.2500 0.9076  4 Rh 2.47
6 As 0.7500 0.7500 0.0924  4 Rh 2.47
7 Rh 0.2500 0.7500 0.0000  4 As 2.47
8 Rh 0.7500 0.2500 0.0000  4 As 2.47

Output
- Energy of formation from the pure elements: -36.92 kJ/mol of atoms
- D(E_F): 0.68 states/eV/atom

=====

Entry 3:
Density functional theory data (PBE-GGA) for a relaxed structure of Cs2InAsS4.

Lattice parameters (Å, degrees): 14.4195 12.8032 8.0174 84.33 62.08 33.59
Closest atoms and distances in Å follow each position.
Fractional coordinates of all 16 atoms:
1 Cs 0.0538 0.0538 0.6962  8 S 3.79-3.94
2 Cs 0.3038 0.3038 0.9462  8 S 3.79-3.94
3 Cs 0.6962 0.6962 0.0538  8 S 3.79-3.94
4 Cs 0.9462 0.9462 0.3038  8 S 3.79-3.94
5 In 0.1250 0.1250 0.1250  4 S 2.49
6 In 0.8750 0.8750 0.8750  4 S 2.49
7 As 0.3750 0.3750 0.3750  4 S 2.50
8 As 0.6250 0.6250 0.6250  4 S 2.50
9 S 0.0249 0.3297 0.4174  1 In 2.49, 1 As 2.50
10 S 0.2720 0.5826 0.6703  1 In 2.49, 1 As 2.50
11 S 0.3297 0.0249 0.7280  1 In 2.49, 1 As 2.50
12 S 0.4174 0.7280 0.0249  1 In 2.49, 1 As 2.50
13 S 0.5826 0.2720 0.9751  1 In 2.49, 1 As 2.50
14 S 0.6703 0.9751 0.2720  1 In 2.49, 1 As 2.50
15 S 0.7280 0.4174 0.3297  1 In 2.49, 1 As 2.50
16 S 0.9751 0.6703 0.5826  1 In 2.49, 1 As 2.50

Output
- D(E_F): 0.00 states/eV/atom
- Uncorrected formation energy: -696 meV/atom

=====

Entry 4:
Density functional theory data (PBE-GGA) for a relaxed structure of Cs2In2Sb2As.

Lattice parameters (Å, degrees): 4.4294 7.4684 9.4976 102.26 103.44 90.24
Closest atoms and distances in Å follow each position.
Fractional coordinates of all 7 atoms:
1 Cs 0.1253 0.3200 0.2463  2 As 3.66, 3 Sb 4.07-4.08
2 Cs 0.8747 0.6800 0.7537  2 As 3.66, 3 Sb 4.07-4.08
3 In 0.3985 0.1945 0.7955  1 As 2.62
4 In 0.6015 0.8055 0.2045  1 As 2.62
5 Sb 0.2213 0.8632 0.4444  2 Sb 3.04, 2 In 3.09-3.10
6 Sb 0.7787 0.1368 0.5556  2 Sb 3.04, 2 In 3.09-3.10
7 As 0.5000 0.0000 0.0000  2 In 2.62

Output
- D(E_F): 0.47 states/eV/atom
- Uncorrected formation energy: -179 meV/atom

=====

Entry 5:
Density functional theory data (PBE-GGA) for a relaxed structure of CsInAsSe2.

Lattice parameters (Å, degrees): 6.2009 6.2009 6.0906 90.00 90.00 90.00
Closest atoms and distances in Å follow each position.
Fractional coordinates of all 5 atoms:
1 Cs 0.0000 0.0000 0.0000  2 As 3.05, 4 Se 3.10
2 In 0.5000 0.5000 0.5000  8 Se 4.35, 4 As 4.38
3 As 0.0000 0.0000 0.5000  2 Cs 3.05
4 Se 0.0000 0.5000 0.0000  2 Cs 3.10
5 Se 0.5000 0.0000 0.0000  2 Cs 3.10

Output
- D(E_F): 1.00 states/eV/atom
- Uncorrected formation energy: 956 meV/atom

=====

Entry 6:
Density functional theory data (PBE-GGA) for a relaxed structure of CsInAs2Se.

Lattice parameters (Å, degrees): 5.4173 5.4173 5.6411 90.00 90.00 90.00
Closest atoms and distances in Å follow each position.
Fractional coordinates of all 5 atoms:
1 Cs 0.0000 0.0000 0.0000  4 Se 3.83, 8 As 3.91
2 In 0.5000 0.5000 0.5000  4 As 2.71, 2 Se 2.82
3 As 0.0000 0.5000 0.5000  2 In 2.71
4 As 0.5000 0.0000 0.5000  2 In 2.71
5 Se 0.5000 0.5000 0.0000  2 In 2.82

Output
- D(E_F): 0.83 states/eV/atom
- Uncorrected formation energy: 164 meV/atom